The following is a DFT calculation (GGA+U) of crystalline Be3CrO at its relaxed geometry.

Cell lengths 3.6610, 3.6610, 3.6610 Å; angles 90.00, 90.00, 90.00 degrees
Last column: nearest neighbours and their distance in Å.
Space group Pm-3m (No. 221)
One atom of each set of equivalent atoms:
Be: 0.0000 0.0000 0.5000 x3  2 O 1.83
Cr: 0.5000 0.5000 0.5000 x1  12 Be 2.59
O: 0.0000 0.0000 0.0000 x1  6 Be 1.83

Computed properties:
The energy relative to the lowest polymorph listed for this composition comes out at 0.0000 eV/atom. As for the electronic total energy: -4.81 eV per atom.